DFT (PBE) results for crystalline CrGaRe at its relaxed geometry.

As for the density of states at the Fermi level: 0.92 states/eV per atom. For the volume, the calculation gives 179.3 Å³/cell. The energy comes out at -0.594 Ry/atom. As for the formation energy: 287 meV/atom.

It has space group Cmcm (No. 63), with a = 2.893 Å, b = 11.829 Å, c = 5.240 Å, α = 90.00°, β = 90.00° and γ = 90.00°. The inequivalent atoms are Cr at (0.000, 0.156, 0.250), Ga at (0.000, 0.159, 0.750) and Re at (0.000, 0.500, 0.000).